Compound: AlFeCoB2
Source: the Open Quantum Materials Database
Functional: PBE
Structure: optimized geometry

The value obtained for the total energy is -6.870 eV/atom.

The structure belongs to space group Amm2 (No. 38); the cell edges are 2.781, 2.926 and 11.138 Å and the angles 90.00°, 90.00° and 90.00°. The asymmetric unit holds Al at (0.000, 0.000, 0.000), Fe at (0.500, 0.000, 0.352), Co at (0.500, 0.000, 0.647), B at (0.000, 0.000, 0.206) and B at (0.000, 0.000, 0.793).